# 1
Tb2ErAl: relaxed, PBE.

Summary:
Its density of states at the Fermi level is 5.60 states/eV/cell. For the electronic total energy, the calculation gives -18.3 eV per cell.

a b c (Å): 4.7527 4.7613 4.7613
angles (deg): 90.00 90.00 90.00
Fractional coordinates of all 4 atoms:
Al1 0.5000 0.0000 0.0000
Tb1 0.0000 0.5000 0.0000
Tb2 0.0000 0.0000 0.5000
Er1 0.5000 0.5000 0.5000



# 2
Tb2Er4Al: relaxed, PBE.

Summary:
Its density of states at the Fermi level is 10.05 states/eV/cell. For the electronic total energy, the calculation gives -31.5 eV per cell.

a b c (Å): 3.5817 3.5817 18.8579
angles (deg): 84.55 84.55 60.00
Fractional coordinates of all 7 atoms:
Er1 0.7064 0.7064 0.8808
Er2 0.9093 0.9093 0.2721
Er3 0.2936 0.2936 0.1192
Er4 0.0907 0.0907 0.7279
Tb1 0.1922 0.1922 0.4233
Tb2 0.8078 0.8078 0.5767
Al1 0.0000 0.0000 0.0000



# 3
Tb8ErAl6: relaxed, PBE.

Summary:
Its density of states at the Fermi level is 18.61 states/eV/cell. For the electronic total energy, the calculation gives -66.5 eV per cell.

a b c (Å): 8.6851 8.6851 8.0378
angles (deg): 57.30 57.30 60.00
Fractional coordinates of all 15 atoms:
Er1 0.0000 0.0000 0.0000
Tb1 0.6663 0.6663 0.0011
Tb2 0.2168 0.8838 0.3480
Tb3 0.4485 0.7832 0.6520
Tb4 0.5515 0.2168 0.3480
Tb5 0.1162 0.4485 0.6520
Tb6 0.7832 0.1162 0.6520
Tb7 0.3337 0.3337 0.9989
Tb8 0.8838 0.5515 0.3480
Al1 0.6158 0.9478 0.1574
Al2 0.9478 0.2790 0.1574
Al3 0.2790 0.6158 0.1574
Al4 0.3842 0.0522 0.8426
Al5 0.0522 0.7210 0.8426
Al6 0.7210 0.3842 0.8426



# 4
Tb3Er6Al: relaxed, PBE.

Summary:
Its density of states at the Fermi level is 33.78 states/eV/cell. For the electronic total energy, the calculation gives -89.2 eV per cell.

a b c (Å): 8.5720 8.5720 8.5720
angles (deg): 100.96 100.96 100.96
Fractional coordinates of all 20 atoms:
Er1 0.3427 0.0801 0.3426
Er2 0.7517 0.2483 0.5001
Er3 0.2483 0.7517 0.4999
Er4 0.4999 0.2483 0.7517
Er5 0.6573 0.9199 0.6574
Er6 0.6574 0.6573 0.9199
Er7 0.3426 0.3427 0.0801
Er8 0.2483 0.5001 0.7517
Er9 0.5001 0.7517 0.2483
Er10 0.0801 0.3426 0.3427
Er11 0.7517 0.4999 0.2483
Er12 0.9199 0.6574 0.6573
Al1 0.5000 0.5000 0.5000
Al2 0.0000 0.0000 0.0000
Tb1 0.0892 0.6787 0.0891
Tb2 0.6787 0.0891 0.0892
Tb3 0.3213 0.9109 0.9108
Tb4 0.0891 0.0892 0.6787
Tb5 0.9109 0.9108 0.3213
Tb6 0.9108 0.3213 0.9109



# 5
Tb2ErAl: relaxed, PBE.

Summary:
Its density of states at the Fermi level is 4.26 states/eV/cell. For the electronic total energy, the calculation gives -18.3 eV per cell.

a b c (Å): 3.5014 3.5014 9.0650
angles (deg): 90.00 90.00 90.00
Fractional coordinates of all 4 atoms:
Al1 0.5000 0.5000 0.0000
Tb1 0.0000 0.0000 0.7841
Tb2 0.0000 0.0000 0.2159
Er1 0.5000 0.5000 0.5000



# 6
TbEr8Al2: relaxed, PBE.

Summary:
Its density of states at the Fermi level is 12.56 states/eV/cell. For the electronic total energy, the calculation gives -49.8 eV per cell.

a b c (Å): 5.1354 8.1262 8.5139
angles (deg): 112.80 107.55 90.00
Fractional coordinates of all 11 atoms:
Er1 0.8465 0.7780 0.6930
Er2 0.3117 0.0485 0.6233
Er3 0.9438 0.2656 0.8877
Er4 0.1535 0.2220 0.3070
Er5 0.6096 0.4722 0.2193
Er6 0.0562 0.7344 0.1123
Er7 0.3904 0.5278 0.7807
Er8 0.6883 0.9515 0.3767
Al1 0.7755 0.3577 0.5509
Al2 0.2245 0.6423 0.4491
Tb1 0.5000 0.0000 0.0000